No. 1
## AcCuN4 (PBE)

Data for an optimized crystal structure of AcCuN4.

Cell and atoms, written as CIF:
```
data_AcCuN4
_chemical_formula_sum 'Ac2 Cu2 N8'
_cell_length_a 4.1565
_cell_length_b 6.6715
_cell_length_c 6.6920
_cell_angle_alpha 74.34
_cell_angle_beta 79.06
_cell_angle_gamma 79.68
_symmetry_space_group_name_H-M 'P 1'
_symmetry_Int_Tables_number 1
loop_
_symmetry_equiv_pos_as_xyz
'x,y,z'
loop_
_atom_site_label
_atom_site_type_symbol
_atom_site_fract_x
_atom_site_fract_y
_atom_site_fract_z
Ac1 Ac 0.0000 0.0000 0.0000
Ac2 Ac 0.1108 0.5829 0.5610
Cu1 Cu 0.0910 0.4190 0.1078
Cu2 Cu 0.5742 0.6236 0.9666
N1 N 0.4011 0.2857 0.8905
N2 N 0.4236 0.3036 0.3182
N3 N 0.4621 0.7899 0.1980
N4 N 0.5456 0.9789 0.7006
N5 N 0.6432 0.3929 0.8058
N6 N 0.6721 0.7366 0.3288
N7 N 0.7122 0.3048 0.3017
N8 N 0.8152 0.9912 0.6129
```

The calculation puts the raw formation energy at -0.090 eV per atom. As for the density of states at the Fermi level: 3.82 states/eV per cell. The value obtained for the density is 6.622 g cm⁻³.


No. 2
## Ba2TbNpSe6 (PBE)

Data for an optimized crystal structure of Ba2TbNpSe6.

Cell and atoms, written as CIF:
```
data_Ba2TbNpSe6
_chemical_formula_sum 'Ba4 Tb2 Np2 Se12'
_cell_length_a 7.4462
_cell_length_b 7.8617
_cell_length_c 13.1242
_cell_angle_alpha 90.00
_cell_angle_beta 124.57
_cell_angle_gamma 90.00
_symmetry_space_group_name_H-M 'P 1 21/c 1'
_symmetry_Int_Tables_number 14
loop_
_symmetry_equiv_pos_as_xyz
'x,y,z'
'-x,-y,-z'
'-x,y+1/2,-z+1/2'
'x,-y+1/2,z+1/2'
loop_
_atom_site_label
_atom_site_type_symbol
_atom_site_fract_x
_atom_site_fract_y
_atom_site_fract_z
Ba1 Ba 0.2287 0.0731 0.2506
Tb1 Tb 0.5000 0.0000 0.0000
Np1 Np 0.0000 0.0000 0.5000
Se1 Se 0.1445 0.2047 0.9537
Se2 Se 0.2532 0.6948 0.9546
Se3 Se 0.3329 0.0171 0.7452
```

The calculation puts the raw formation energy at -1.633 eV per atom. As for the density of states at the Fermi level: 15.81 states/eV per cell. The value obtained for the density is 6.007 g cm⁻³.


No. 3
## Ca2ReMo (PBE)

Data for an optimized crystal structure of Ca2ReMo.

Cell and atoms, written as CIF:
```
data_Ca2ReMo
_chemical_formula_sum 'Ca2 Re1 Mo1'
_cell_length_a 3.2827
_cell_length_b 3.2822
_cell_length_c 9.0410
_cell_angle_alpha 90.00
_cell_angle_beta 90.10
_cell_angle_gamma 90.00
_symmetry_space_group_name_H-M 'P 1 m 1'
_symmetry_Int_Tables_number 6
loop_
_symmetry_equiv_pos_as_xyz
'x,y,z'
'x,-y,z'
loop_
_atom_site_label
_atom_site_type_symbol
_atom_site_fract_x
_atom_site_fract_y
_atom_site_fract_z
Ca1 Ca 0.0000 0.0000 0.0000
Ca2 Ca 0.4976 0.5000 0.3831
Re1 Re 0.9985 0.0000 0.6214
Mo1 Mo 0.4993 0.5000 0.7521
```

As for the density of states at the Fermi level: 4.10 states/eV per cell. Its energy relative to the elements is 31.1 kJ per mole of atoms. Its energy above the most stable polymorph in this dataset is 0 meV/atom. The value obtained for the density is 6.176 g cm⁻³.


No. 4
## LiGaSn (PBE)

Data for an optimized crystal structure of LiGaSn.

Cell and atoms, written as CIF:
```
data_LiGaSn
_chemical_formula_sum 'Li2 Ga2 Sn2'
_cell_length_a 4.6145
_cell_length_b 3.3008
_cell_length_c 8.3740
_cell_angle_alpha 90.00
_cell_angle_beta 91.75
_cell_angle_gamma 90.00
_symmetry_space_group_name_H-M 'P 1 m 1'
_symmetry_Int_Tables_number 6
loop_
_symmetry_equiv_pos_as_xyz
'x,y,z'
'x,-y,z'
loop_
_atom_site_label
_atom_site_type_symbol
_atom_site_fract_x
_atom_site_fract_y
_atom_site_fract_z
Li1 Li 0.0000 0.0000 0.0000
Li2 Li 0.0163 0.5000 0.3347
Ga1 Ga 0.5225 0.0000 0.4220
Ga2 Ga 0.5366 0.5000 0.7796
Sn1 Sn 0.0341 0.0000 0.6371
Sn2 Sn 0.5045 0.5000 0.1249
```

As for the density of states at the Fermi level: 1.85 states/eV per cell. Its energy relative to the elements is -16.6 kJ per mole of atoms. The value obtained for the density is 5.090 g cm⁻³.


No. 5
## Ce2YRu (PBE)

Data for an optimized crystal structure of Ce2YRu.

Cell and atoms, written as CIF:
```
data_Ce2YRu
_chemical_formula_sum 'Ce2 Y1 Ru1'
_cell_length_a 3.6701
_cell_length_b 3.6701
_cell_length_c 7.5778
_cell_angle_alpha 90.00
_cell_angle_beta 90.00
_cell_angle_gamma 90.00
_symmetry_space_group_name_H-M 'P 4/m m m'
_symmetry_Int_Tables_number 123
_symmetry_space_group_name_Hall '-P 4 2'
loop_
_atom_site_label
_atom_site_type_symbol
_atom_site_fract_x
_atom_site_fract_y
_atom_site_fract_z
Ce1 Ce 0.0000 0.0000 0.1892
Y1 Y 0.5000 0.5000 0.5000
Ru1 Ru 0.5000 0.5000 0.0000
```

As for the density of states at the Fermi level: 9.49 states/eV per cell. Its energy relative to the elements is -6.5 kJ per mole of atoms. Its energy above the most stable polymorph in this dataset is 162 meV/atom. The value obtained for the density is 7.649 g cm⁻³.


No. 6
## CaPaNi (PBE)

Data for an optimized crystal structure of CaPaNi.

Cell and atoms, written as CIF:
```
data_CaPaNi
_chemical_formula_sum 'Ca4 Pa4 Ni4'
_cell_length_a 14.3301
_cell_length_b 3.4130
_cell_length_c 5.8979
_cell_angle_alpha 90.00
_cell_angle_beta 90.00
_cell_angle_gamma 90.00
_symmetry_space_group_name_H-M 'A m m 2'
_symmetry_Int_Tables_number 38
loop_
_symmetry_equiv_pos_as_xyz
'x,y,z'
'-x,-y,z'
'-x,y,z'
'x,-y,z'
'x,y+1/2,z+1/2'
'-x,-y+1/2,z+1/2'
'-x,y+1/2,z+1/2'
'x,-y+1/2,z+1/2'
loop_
_atom_site_label
_atom_site_type_symbol
_atom_site_fract_x
_atom_site_fract_y
_atom_site_fract_z
Ca1 Ca 0.1393 0.0000 0.0000
Pa1 Pa 0.3652 0.0000 0.3377
Ni1 Ni 0.0000 0.0000 0.3340
Ni2 Ni 0.5000 0.0000 0.0040
```

As for the density of states at the Fermi level: 23.46 states/eV per cell. Its energy relative to the elements is 24.9 kJ per mole of atoms. The value obtained for the density is 7.594 g cm⁻³.


No. 7
## Li3NbPd4 (PBE)

Data for an optimized crystal structure of Li3NbPd4.

Cell and atoms, written as CIF:
```
data_Li3NbPd4
_chemical_formula_sum 'Li3 Nb1 Pd4'
_cell_length_a 2.9234
_cell_length_b 2.9234
_cell_length_c 13.2355
_cell_angle_alpha 90.00
_cell_angle_beta 90.00
_cell_angle_gamma 90.00
_symmetry_space_group_name_H-M 'P 4/m m m'
_symmetry_Int_Tables_number 123
_symmetry_space_group_name_Hall '-P 4 2'
loop_
_atom_site_label
_atom_site_type_symbol
_atom_site_fract_x
_atom_site_fract_y
_atom_site_fract_z
Li1 Li 0.0000 0.0000 0.0000
Li2 Li 0.0000 0.0000 0.2323
Nb1 Nb 0.0000 0.0000 0.5000
Pd1 Pd 0.5000 0.5000 0.1189
Pd2 Pd 0.5000 0.5000 0.3549
```

As for the density of states at the Fermi level: 4.49 states/eV per cell. Its energy relative to the elements is -39.0 kJ per mole of atoms. The value obtained for the density is 7.919 g cm⁻³.


No. 8
## CdSnPb5 (PBE)

Data for an optimized crystal structure of CdSnPb5.

Cell and atoms, written as CIF:
```
data_CdSnPb5
_chemical_formula_sum 'Cd1 Sn1 Pb5'
_cell_length_a 4.9575
_cell_length_b 4.9575
_cell_length_c 8.9670
_cell_angle_alpha 90.00
_cell_angle_beta 90.00
_cell_angle_gamma 90.00
_symmetry_space_group_name_H-M 'P 4/m m m'
_symmetry_Int_Tables_number 123
_symmetry_space_group_name_Hall '-P 4 2'
loop_
_atom_site_label
_atom_site_type_symbol
_atom_site_fract_x
_atom_site_fract_y
_atom_site_fract_z
Cd1 Cd 0.0000 0.0000 0.0000
Sn1 Sn 0.0000 0.0000 0.5000
Pb1 Pb 0.0000 0.5000 0.2229
Pb2 Pb 0.5000 0.5000 0.5000
```

As for the density of states at the Fermi level: 3.70 states/eV per cell. Its energy relative to the elements is 6.4 kJ per mole of atoms. The value obtained for the density is 9.548 g cm⁻³.


No. 9
## AcPr4Hg4 (PBE)

Data for an optimized crystal structure of AcPr4Hg4.

Cell and atoms, written as CIF:
```
data_AcPr4Hg4
_chemical_formula_sum 'Ac2 Pr8 Hg8'
_cell_length_a 10.0639
_cell_length_b 10.0639
_cell_length_c 5.7266
_cell_angle_alpha 90.00
_cell_angle_beta 90.00
_cell_angle_gamma 90.00
_symmetry_space_group_name_H-M 'P 42/n'
_symmetry_Int_Tables_number 86
loop_
_symmetry_equiv_pos_as_xyz
'x,y,z'
'-x,-y,-z'
'-y,x+1/2,z+1/2'
'y,-x+1/2,-z+1/2'
'-x+1/2,-y+1/2,z'
'x+1/2,y+1/2,-z'
'y+1/2,-x,z+1/2'
'-y+1/2,x,-z+1/2'
loop_
_atom_site_label
_atom_site_type_symbol
_atom_site_fract_x
_atom_site_fract_y
_atom_site_fract_z
Ac1 Ac 0.2500 0.2500 0.2500
Pr1 Pr 0.1006 0.8457 0.6604
Hg1 Hg 0.0429 0.1434 0.8374
```

As for the density of states at the Fermi level: 14.56 states/eV per cell. Its energy relative to the elements is -25.2 kJ per mole of atoms. The value obtained for the density is 9.121 g cm⁻³.


No. 10
## SrBSb2I (PBE)

Data for an optimized crystal structure of SrBSb2I.

Cell and atoms, written as CIF:
```
data_SrBSb2I
_chemical_formula_sum 'Sr1 B1 Sb2 I1'
_cell_length_a 6.2895
_cell_length_b 6.2895
_cell_length_c 6.2413
_cell_angle_alpha 90.00
_cell_angle_beta 90.00
_cell_angle_gamma 90.00
_symmetry_space_group_name_H-M 'P 4/m m m'
_symmetry_Int_Tables_number 123
_symmetry_space_group_name_Hall '-P 4 2'
loop_
_atom_site_label
_atom_site_type_symbol
_atom_site_fract_x
_atom_site_fract_y
_atom_site_fract_z
Sr1 Sr 0.0000 0.0000 0.0000
B1 B 0.5000 0.5000 0.5000
Sb1 Sb 0.0000 0.5000 0.0000
I1 I 0.0000 0.0000 0.5000
```

The calculation puts the raw formation energy at 1.344 eV per atom. As for the density of states at the Fermi level: 6.38 states/eV per cell. Its energy above the most stable polymorph in this dataset is 1234 meV/atom. The value obtained for the density is 3.153 g cm⁻³.